Computed, not measured: a geometry-optimized MnZnW2 structure at the PBE-GGA level of DFT.

Cell lengths 2.6692, 4.2191, 5.3423 Å; angles 90.00, 104.39, 90.00 degrees
With the nearest neighbours (Å) after each atom.
Space group P2/m (No. 10)
Symmetry-distinct sites (fractional):
Mn1 0.0000 0.0000 0.0000 [1 per cell]  4 W 2.64, 2 Mn 2.67, 2 Zn 2.67
Zn1 0.5000 0.0000 0.5000 [1 per cell]  2 Zn 2.67, 2 Mn 2.67, 8 W 2.70-2.98
W1 0.2413 0.5000 0.7571 [2 per cell]  4 W 2.62-2.73, 2 Mn 2.64, 2 Zn 2.70

size of the total moment	1.4	μB per formula unit
energy	-8.858	eV per atom